w) Compound: PdNF3
Source: Alexandria via LeMat-Bulk
Functional: PBE-GGA
Structure: optimized geometry

a = 4.096 Å, b = 4.096 Å, c = 4.096 Å
α = 90.00°, β = 90.00°, γ = 90.00°
Element x y z (fractional)
Pd 0.000 0.000 0.000
N 0.500 0.500 0.500
F 0.000 0.000 0.500
F 0.000 0.500 0.000
F 0.500 0.000 0.000

Results
Total moment, μB per cell: 0.0
Theoretical density, kg/m3: 4286

x) Compound: PdNF3
Source: Alexandria via LeMat-Bulk
Functional: PBE-GGA
Structure: optimized geometry

a = 3.859 Å, b = 3.859 Å, c = 3.859 Å
α = 90.00°, β = 90.00°, γ = 90.00°
Element x y z (fractional)
Pd 0.000 0.000 0.000
N 0.500 0.500 0.500
F 0.000 0.500 0.500
F 0.500 0.000 0.500
F 0.500 0.500 0.000

Results
Total moment, μB per cell: 2.1
Theoretical density, kg/m3: 5125

y) Compound: PdNF3
Source: Alexandria via LeMat-Bulk
Functional: PBE-GGA
Structure: optimized geometry

a = 4.124 Å, b = 6.441 Å, c = 6.483 Å
α = 90.00°, β = 90.83°, γ = 90.00°
Element x y z (fractional)
Pd 0.000 0.250 0.000
Pd 0.000 0.750 0.000
N 0.479 0.250 0.504
N 0.521 0.750 0.496
F 0.005 0.000 0.196
F 0.005 0.500 0.196
F 0.500 0.250 0.001
F 0.500 0.750 0.999
F 0.995 0.000 0.804
F 0.995 0.500 0.804

Results
Total moment, μB per cell: 6.9
Theoretical density, kg/m3: 3422

Most stable to least stable, the ends of the list are y) and w).